Here is crystalline TiAg2HS at its relaxed geometry from Alexandria via LeMat-Bulk. Energies are from GGA-PBE.

Properties
Total DFT energy (no corrections) in eV/atom: -3.750
Volume in Å³ per atom: 16.13

Cell: 5.140 5.140 3.053 Å, 90.00 90.00 90.00°
Space group P4/mmm (No. 123)
Symmetry-distinct sites (fractional):
Ti 0.000 0.000 0.000
Ag 0.000 0.500 0.500
H 0.500 0.500 0.000
S 0.500 0.500 0.500